The following is a DFT calculation (PBE) of an optimized crystal structure of Ho3Hg2Pt.

Its total magnetization is 0.000 μB/f.u. The value obtained for the calculated total energy is -4.025 eV/atom. The energy above the lowest structure with this stoichiometry comes out at 0.115 eV/atom. For the calculated formation energy, the calculation gives -364.1 kJ/mol of formula units.

The structure belongs to space group C2/c (No. 15); the cell edges are 14.640, 5.896 and 7.784 Å and the angles 90.00°, 105.38° and 90.00°. The distinct sites, in fractional coordinates, are Ho at (0.000, 0.001, 0.250), Ho at (0.137, 0.500, 0.068), Hg at (0.186, 0.000, 0.094) and Pt at (0.000, 0.499, 0.750).


The following is a DFT calculation (PBE) of an optimized crystal structure of Ho3Hg2Pt.

Its total magnetization is 0.000 μB/f.u. The value obtained for the calculated total energy is -4.140 eV/atom. The energy above the lowest structure with this stoichiometry comes out at 0.000 eV/atom. For the calculated formation energy, the calculation gives -430.7 kJ/mol of formula units.

The structure belongs to space group P4/mmm (No. 123); the cell edges are 3.610, 3.610 and 11.012 Å and the angles 90.00°, 90.00° and 90.00°. The distinct sites, in fractional coordinates, are Ho at (0.000, 0.000, 0.000), Ho at (0.000, 0.000, 0.352), Hg at (0.500, 0.500, 0.170) and Pt at (0.500, 0.500, 0.500).


The following is a DFT calculation (PBE) of an optimized crystal structure of Ho8Hg2Pt.

Its total magnetization is 0.000 μB/f.u. The value obtained for the calculated total energy is -4.330 eV/atom. For the calculated formation energy, the calculation gives -421.3 kJ/mol of formula units.

The structure belongs to space group C2/m (No. 12); the cell edges are 17.820, 5.136 and 6.797 Å and the angles 90.00°, 103.24° and 90.00°. The distinct sites, in fractional coordinates, are Ho at (0.023, 0.000, 0.275), Ho at (0.089, 0.500, 0.939), Ho at (0.155, 0.500, 0.468), Ho at (0.204, 0.000, 0.819), Hg at (0.189, 0.000, 0.239) and Pt at (0.000, 0.500, 0.500).